No. 1
This record from Alexandria via LeMat-Bulk describes a geometry-optimized YPbIO6 structure. The functional is PBE.

Cell lengths 5.6962, 5.6962, 10.2477 Å; angles 90.00, 90.00, 120.00 degrees
Closest atoms and distances in Å follow each position.
Positions (direct):
Y  0.6667  0.3333  0.7500  6 O 2.29
Y  0.3333  0.6667  0.2500  6 O 2.29
O  0.6019  0.9515  0.8558  1 I 1.91
O  0.3981  0.0485  0.1442  1 I 1.91
O  0.6019  0.6504  0.6442  1 I 1.91
O  0.3981  0.3496  0.3558  1 I 1.91
O  0.6504  0.6019  0.1442  1 I 1.91
O  0.9515  0.3496  0.1442  1 I 1.91
O  0.9515  0.6019  0.3558  1 I 1.91
O  0.3496  0.3981  0.8558  1 I 1.91
O  0.6504  0.0485  0.3558  1 I 1.91
O  0.0485  0.6504  0.8558  1 I 1.91
O  0.3496  0.9515  0.6442  1 I 1.91
O  0.0485  0.3981  0.6442  1 I 1.91
Pb  0.0000  0.0000  0.0000  6 O 2.60
Pb  0.0000  0.0000  0.5000  6 O 2.60
I  0.6667  0.3333  0.2500  6 O 1.91
I  0.3333  0.6667  0.7500  6 O 1.91

Computed properties:
The value obtained for the energy is -6.0380 eV/atom. The value obtained for the density of states at the Fermi level is 0.00 states/eV/f.u. Its density is 5.99 g cm⁻³.



No. 2
This record from Alexandria via LeMat-Bulk describes a geometry-optimized NbCuSbTe2 structure. The functional is PBE.

Cell lengths 5.1564, 5.1564, 4.9085 Å; angles 90.00, 90.00, 90.00 degrees
Closest atoms and distances in Å follow each position.
Positions (direct):
Te  0.0000  0.5000  0.0000  2 Cu 2.58
Te  0.5000  0.0000  0.0000  2 Cu 2.58
Cu  0.0000  0.0000  0.0000  2 Sb 2.45, 4 Te 2.58
Nb  0.5000  0.5000  0.5000  8 Te 3.56, 4 Sb 3.65
Sb  0.0000  0.0000  0.5000  2 Cu 2.45

Computed properties:
The value obtained for the energy is -4.1348 eV/atom. The value obtained for the density of states at the Fermi level is 5.19 states/eV/f.u. Its density is 6.79 g cm⁻³.



No. 3
This record from Alexandria via LeMat-Bulk describes a geometry-optimized Ca4Tl4Hg3 structure. The functional is PBE.

Cell lengths 3.6842, 9.2322, 10.9749 Å; angles 114.87, 99.66, 90.00 degrees
Closest atoms and distances in Å follow each position.
Positions (direct):
Tl  0.3431  0.5203  0.6861  4 Ca 3.24-3.40, 1 Tl 3.27
Tl  0.6569  0.8342  0.3139  4 Ca 3.24-3.40, 1 Tl 3.27
Tl  0.3431  0.1658  0.6861  4 Ca 3.24-3.40, 1 Tl 3.27
Tl  0.6569  0.4797  0.3139  4 Ca 3.24-3.40, 1 Tl 3.27
Hg  0.0902  0.0902  0.1805  6 Ca 3.19-3.20, 1 Hg 3.53
Hg  0.9098  0.9098  0.8195  6 Ca 3.19-3.20, 1 Hg 3.53
Hg  0.0000  0.5000  0.0000  4 Ca 3.25
Ca  0.5000  0.7905  0.0000  6 Hg 3.20-3.25, 2 Tl 3.24
Ca  0.7234  0.2234  0.4469  2 Hg 3.19, 6 Tl 3.25-3.40
Ca  0.2766  0.7766  0.5531  2 Hg 3.19, 6 Tl 3.25-3.40
Ca  0.5000  0.2095  0.0000  6 Hg 3.20-3.25, 2 Tl 3.24

Computed properties:
The value obtained for the energy is -1.9244 eV/atom. The formation energy is -254 meV/atom. The value obtained for the density of states at the Fermi level is 5.78 states/eV/f.u. Its density is 7.88 g cm⁻³.



No. 4
This record from Alexandria via LeMat-Bulk describes a geometry-optimized GdTlCd2 structure. The functional is PBE.

Cell lengths 4.8388, 4.5782, 4.5782 Å; angles 90.00, 90.00, 90.00 degrees
Closest atoms and distances in Å follow each position.
Positions (direct):
Tl  0.5000  0.0000  0.0000  4 Gd 3.24, 8 Cd 3.33
Cd  0.0000  0.5000  0.0000  4 Cd 3.24, 4 Tl 3.33, 4 Gd 3.33
Cd  0.0000  0.0000  0.5000  4 Cd 3.24, 4 Tl 3.33, 4 Gd 3.33
Gd  0.5000  0.5000  0.5000  4 Tl 3.24, 8 Cd 3.33

Computed properties:
The value obtained for the energy is -4.8314 eV/atom. The formation energy is -262 meV/atom. The value obtained for the density of states at the Fermi level is 3.92 states/eV/f.u. Its density is 9.60 g cm⁻³.